#P
DFT (PBE) results for an optimized crystal structure of SiSN2.

The structure belongs to space group P1 (No. 1); the cell edges are 3.2418, 3.6358 and 5.3179 Å and the angles 80.94°, 80.89° and 70.49°. The inequivalent atoms are Si at (0.0000, 0.0000, 0.0000), S at (0.2479, 0.7196, 0.6607), N at (0.1094, 0.4742, 0.9844) and N at (0.4312, 0.1135, 0.1058).

---

#Q
DFT (PBE) results for an optimized crystal structure of SiSN2.

The structure belongs to space group R-3m (No. 166, hexagonal axes); the cell edges are 2.8239, 2.8239 and 17.0800 Å and the angles 90.00°, 90.00° and 120.00°. The inequivalent atoms are Si at (0.0000, 0.0000, 0.0000), S at (0.0000, 0.0000, 0.5000) and N at (0.0000, 0.0000, 0.3904).

---

Stability summary - winner: #Q; margin: 0.273 eV/atom.